(1)
{"formula": "SiIr3", "functional": "meta-GGA SCAN", "state": "single point on PBEsol structure", "spacegroup": "I4/mcm (140)", "density_kg_m3": 18469, "e_form_raw_ev_per_atom": -0.454, "m_tot_mub_per_atom": 0.00, "volume_a3_per_atom": 13.59, "dos_ef_per_ev_cell": 4.04, "lattice": [[-4.616, -1.818, -1.623], [2.035, -1.855, 4.687], [-1.860, 4.875, -0.171]], "species": ["Si", "Si", "Ir", "Ir", "Ir", "Ir", "Ir", "Ir"], "fractional_positions": [[0.750, 0.500, 0.250], [0.250, 0.500, 0.750], [0.750, 0.500, 0.750], [0.250, 0.500, 0.250], [0.315, 0.000, 0.185], [0.685, 0.000, 0.815], [0.185, 0.000, 0.685], [0.815, 0.000, 0.315]]}


(2)
{"formula": "Si2Ir3", "functional": "meta-GGA SCAN", "state": "single point on PBEsol structure", "spacegroup": "P-6m2 (187)", "density_kg_m3": 14107, "e_form_raw_ev_per_atom": -0.219, "m_tot_mub_per_atom": 0.00, "volume_a3_per_atom": 14.90, "de_polymorph_mev_per_atom": 542, "dos_ef_per_ev_cell": 2.94, "lattice": [[-1.194, 1.325, -3.587], [3.299, -2.251, 0.307], [-2.958, -4.424, -0.649]], "species": ["Si", "Si", "Ir", "Ir", "Ir"], "fractional_positions": [[0.333, 0.667, 0.000], [0.000, 0.000, 0.500], [0.000, 0.000, 0.000], [0.667, 0.333, 0.736], [0.667, 0.333, 0.264]]}


(3)
{"formula": "SiIr2", "functional": "meta-GGA SCAN", "state": "single point on PBEsol structure", "spacegroup": "P6/mmm (191)", "density_kg_m3": 15837, "e_form_raw_ev_per_atom": 0.332, "m_tot_mub_per_atom": 0.00, "volume_a3_per_atom": 14.42, "dos_ef_per_ev_cell": 1.99, "lattice": [[2.726, 0.000, 0.000], [0.000, 4.280, 0.000], [0.000, -2.140, 3.707]], "species": ["Si", "Ir", "Ir"], "fractional_positions": [[0.000, 0.000, 0.000], [0.500, 0.667, 0.333], [0.500, 0.333, 0.667]]}


(4)
{"formula": "SiIr3", "functional": "meta-GGA SCAN", "state": "single point on PBEsol structure", "spacegroup": "Pnma (62)", "density_kg_m3": 18309, "e_form_raw_ev_per_atom": -0.353, "m_tot_mub_per_atom": 0.00, "volume_a3_per_atom": 13.71, "dos_ef_per_ev_cell": 9.61, "lattice": [[5.502, 0.000, 0.000], [0.000, 5.599, 0.000], [0.000, 0.000, 7.121]], "species": ["Ir", "Ir", "Ir", "Ir", "Ir", "Ir", "Ir", "Ir", "Ir", "Ir", "Ir", "Ir", "Si", "Si", "Si", "Si"], "fractional_positions": [[0.007, 0.581, 0.250], [0.493, 0.081, 0.750], [0.507, 0.919, 0.250], [0.993, 0.419, 0.750], [0.235, 0.233, 0.051], [0.265, 0.733, 0.949], [0.735, 0.267, 0.449], [0.765, 0.767, 0.551], [0.765, 0.767, 0.949], [0.735, 0.267, 0.051], [0.265, 0.733, 0.551], [0.235, 0.233, 0.449], [0.969, 0.995, 0.250], [0.531, 0.495, 0.750], [0.469, 0.505, 0.250], [0.031, 0.005, 0.750]]}